No. 1
VASP calculation (PBE-GGA) on a relaxed structure of KHg.

DFT formation energy = -0.036 eV per atom
Magnetization = 0.000 μB/atom
Final energy = -0.74 eV per atom

Lattice parameters (Å, degrees): 5.998 5.998 6.986 90.00 90.00 120.00
Fractional positions:
K 0.333 0.667 0.250
K 0.667 0.333 0.750
Hg 0.333 0.667 0.750
Hg 0.667 0.333 0.250

No. 2
VASP calculation (PBE-GGA) on a relaxed structure of KHg2.

DFT formation energy = -0.039 eV per atom
Magnetization = 0.000 μB/atom
Final energy = -0.61 eV per atom

Lattice parameters (Å, degrees): 8.136 8.136 8.136 90.00 90.00 90.00
Fractional positions:
K 0.000 0.000 0.000
K 0.500 0.500 0.000
K 0.500 0.000 0.500
K 0.000 0.500 0.500
Hg 0.608 0.608 0.392
Hg 0.392 0.392 0.608
Hg 0.108 0.892 0.608
Hg 0.892 0.108 0.392
Hg 0.392 0.108 0.108
Hg 0.608 0.892 0.892
Hg 0.892 0.392 0.892
Hg 0.108 0.608 0.108

Listing calculated volume for the structures above in their given order: 54.420, 44.873 Å³/atom.